A relaxed structure of SbP2Cl. Source: the Alexandria database, functional GGA-PBE.

Lattice parameters (Å, degrees): 4.8058 4.8058 4.7563 108.56 108.56 110.03
With the nearest neighbours (Å) after each atom.
Sites, in units of the cell vectors:
1 Sb 0.0000 0.0000 0.0000  2 Cl 2.76, 4 P 2.79
2 P 0.0000 0.5000 0.5000  2 P 2.76, 2 Cl 2.79, 2 Sb 2.79
3 P 0.5000 0.0000 0.5000  2 P 2.76, 2 Cl 2.79, 2 Sb 2.79
4 Cl 0.5000 0.5000 0.0000  2 Sb 2.76, 4 P 2.79

Volume (Å³ per cell): 86
Symmetry: C2/m
Raw total energy (hartree per atom): -0.1363
Mass density (g/cm3): 4.24
Total magnetization (μB/cell): 0.00
ΔE_f (raw) (eV per atom): 0.488
Energy relative to the lowest polymorph listed for this composition (meV per atom): 522.3



A relaxed structure of KLiVCl6. Source: the Alexandria database, functional GGA-PBE.

Lattice parameters (Å, degrees): 6.4400 6.4400 6.8972 90.00 90.00 120.00
With the nearest neighbours (Å) after each atom.
Sites, in units of the cell vectors:
1 K 0.0000 0.0000 0.0000  6 Cl 3.19
2 Li 0.3333 0.6667 0.5000  6 Cl 2.56
3 V 0.6667 0.3333 0.5000  6 Cl 2.33
4 Cl 0.3850 0.0268 0.6958  1 V 2.33, 1 Li 2.56
5 Cl 0.3850 0.3581 0.3042  1 V 2.33, 1 Li 2.56
6 Cl 0.6419 0.0268 0.3042  1 V 2.33, 1 Li 2.56
7 Cl 0.6419 0.6150 0.6958  1 V 2.33, 1 Li 2.56
8 Cl 0.9732 0.3581 0.6958  1 V 2.33, 1 Li 2.56
9 Cl 0.9732 0.6150 0.3042  1 V 2.33, 1 Li 2.56

Volume (Å³ per cell): 248
Symmetry: P312
Raw total energy (hartree per atom): -0.1483
Mass density (g/cm3): 2.08
Total magnetization (μB/cell): 1.00
ΔE_f (raw) (eV per atom): -1.456



A relaxed structure of CaZr2Tl. Source: the Alexandria database, functional GGA-PBE.

Lattice parameters (Å, degrees): 5.8819 5.8819 5.8819 135.44 135.44 64.85
With the nearest neighbours (Å) after each atom.
Sites, in units of the cell vectors:
1 Ca 0.0000 0.0000 0.0000  4 Tl 3.15, 8 Zr 3.34
2 Zr 0.2500 0.7500 0.5000  4 Zr 3.15, 4 Tl 3.34, 4 Ca 3.34
3 Zr 0.7500 0.2500 0.5000  4 Zr 3.15, 4 Tl 3.34, 4 Ca 3.34
4 Tl 0.5000 0.5000 0.0000  4 Ca 3.15, 8 Zr 3.34

Volume (Å³ per cell): 99
Symmetry: I4/mmm
Raw total energy (hartree per atom): -0.1929
Mass density (g/cm3): 7.18
Formation enthalpy at 0 K (eV/atom): 0.118
Total magnetization (μB/cell): 0.00
Energy relative to the lowest polymorph listed for this composition (meV per atom): 154.3



volume of number 2 (KLiVCl6)? 248 Å³ per cell



What is the formula in the first record? SbP2Cl



Which value of total magnetization does entry 3 give? 0.00 μB/cell